No. 1
NdMg4Hg | PBE | relaxed

It has space group F-43m (No. 216), with a = 8.484 Å, b = 8.484 Å, c = 8.484 Å, α = 90.00°, β = 90.00° and γ = 90.00°. Symmetry generates all atoms from Nd at (0.000, 0.000, 0.000), Mg at (0.125, 0.125, 0.375) and Hg at (0.250, 0.250, 0.750).

Its distance to the lowest polymorph of the same formula is 184 meV per atom.

No. 2
TaAsSe | PBE | relaxed

It has space group P-6m2 (No. 187), with a = 4.4650 Å, b = 4.4650 Å, c = 3.2175 Å, α = 90.00°, β = 90.00° and γ = 120.00°. Symmetry generates all atoms from Ta at (0.0000, 0.0000, 0.0000), As at (0.3333, 0.6667, 0.5000) and Se at (0.6667, 0.3333, 0.0000).

No. 3
SrTmZnSn | PBE | relaxed

It has space group F-43m (No. 216), with a = 7.583 Å, b = 7.583 Å, c = 7.583 Å, α = 90.00°, β = 90.00° and γ = 90.00°. Symmetry generates all atoms from Sr at (0.000, 0.000, 0.000), Tm at (0.000, 0.000, 0.500), Zn at (0.250, 0.250, 0.750) and Sn at (0.250, 0.250, 0.250).

No. 4
CaPPd2Pt | PBE | relaxed

It has space group P4/mmm (No. 123), with a = 4.597 Å, b = 4.597 Å, c = 4.577 Å, α = 90.00°, β = 90.00° and γ = 90.00°. Symmetry generates all atoms from Ca at (0.000, 0.000, 0.000), P at (0.500, 0.500, 0.500), Pd at (0.000, 0.500, 0.500) and Pt at (0.500, 0.500, 0.000).

No. 5
Dy4TmAgS8 | PBE | relaxed

It has space group R3m (No. 160, hexagonal axes), with a = 8.0218 Å, b = 8.0218 Å, c = 19.5341 Å, α = 90.00°, β = 90.00° and γ = 120.00°. Symmetry generates all atoms from Dy at (0.0000, 0.0000, 0.0000), Dy at (0.1724, 0.3447, 0.2075), Tm at (0.0000, 0.0000, 0.3800), Ag at (0.0000, 0.0000, 0.7512), S at (0.0000, 0.0000, 0.1338), S at (0.0000, 0.0000, 0.6180), S at (0.0223, 0.5111, 0.1272) and S at (0.1791, 0.3582, 0.9572).

No. 6
Ti4Te5C | PBE | relaxed

It has space group C2/m (No. 12), with a = 17.637 Å, b = 3.372 Å, c = 7.874 Å, α = 90.00°, β = 102.81° and γ = 90.00°. Symmetry generates all atoms from Ti at (0.001, 0.000, 0.315), Ti at (0.123, 0.500, 0.562), Te at (0.000, 0.500, 0.000), Te at (0.158, 0.000, 0.839), Te at (0.162, 0.000, 0.323) and C at (0.000, 0.500, 0.500).

No. 7
Tb7ErTm2 | PBE | relaxed

It has space group P-1 (No. 2), with a = 6.108 Å, b = 7.069 Å, c = 7.895 Å, α = 77.02°, β = 75.07° and γ = 73.33°. Symmetry generates all atoms from Tb at (0.000, 0.000, 0.000), Tb at (0.200, 0.800, 0.600), Tb at (0.400, 0.100, 0.200), Tb at (0.400, 0.600, 0.200), Er at (0.000, 0.500, 0.000) and Tm at (0.199, 0.301, 0.600).

Its distance to the lowest polymorph of the same formula is 0 meV per atom.

No. 8
NiBr | PBE | relaxed

It has space group Fd-3m (No. 227, origin choice 2), with a = 6.679 Å, b = 6.679 Å, c = 6.679 Å, α = 90.00°, β = 90.00° and γ = 90.00°. Symmetry generates all atoms from Ni at (0.125, 0.125, 0.125) and Br at (0.125, 0.125, 0.625).

Calculated density of states at the Fermi level in order - 21.296; 0.577; 11.776; 2.773; 0.000; 12.600; 12.202; 18.619 states/eV/cell
Calculated uncorrected energy in order - -0.07004; -0.24774; -0.11875; -0.19985; -0.22153; -0.23209; -0.16815; -0.10277 Ha/atom